No. 1
VASP calculation (GGA-PBE) on a relaxed structure of Cr3Ir4.

Calculated values
calculated total energy: -0.33817 Ha/atom
M_tot: 0.0 μB/cell
density: 16.368 g/cm³
formation energy from the elements: -0.01 eV per atom

a b c (Å): 4.675 4.675 4.957
angles (deg): 90.00 90.00 120.00
Fractional positions:
Ir: 0.000 0.000 0.253
Ir: 0.000 0.000 0.747
Ir: 0.333 0.667 0.500
Cr: 0.000 0.500 0.000
Cr: 0.500 0.000 0.000
Ir: 0.667 0.333 0.500
Cr: 0.500 0.500 0.000

No. 2
VASP calculation (GGA-PBE) on a relaxed structure of SrAl2Ru.

Calculated values
calculated total energy: -0.16910 Ha/atom
M_tot: 0.0 μB/cell
density: 3.621 g/cm³
formation energy from the elements: 0.01 eV per atom

a b c (Å): 5.308 5.308 8.744
angles (deg): 72.33 72.33 90.00
Fractional positions:
Al: 0.375 0.125 0.750
Ru: 0.750 0.250 0.500
Sr: 0.250 0.750 0.500
Al: 0.875 0.625 0.250
Al: 0.875 0.125 0.250
Sr: 0.500 0.500 0.000
Al: 0.875 0.125 0.750
Ru: 0.000 0.000 0.000

No. 3
VASP calculation (GGA-PBE) on a relaxed structure of ErAg2Sn.

Calculated values
calculated total energy: -0.14211 Ha/atom
M_tot: 0.0 μB/cell
density: 9.449 g/cm³
formation energy from the elements: -0.30 eV per atom

a b c (Å): 4.483 4.435 4.435
angles (deg): 90.00 90.00 90.00
Fractional positions:
Er: 0.500 0.500 0.500
Ag: 0.000 0.000 0.500
Ag: 0.000 0.500 0.000
Sn: 0.500 0.000 0.000

No. 4
VASP calculation (GGA-PBE) on a relaxed structure of HoScRuPt.

Calculated values
calculated total energy: -0.27440 Ha/atom
M_tot: 0.0 μB/cell
excess energy over the best structure of this formula in the dataset: 0.0000 eV/atom
density: 11.286 g/cm³
formation energy from the elements: -0.91 eV per atom

a b c (Å): 3.374 3.374 6.541
angles (deg): 90.00 90.00 90.00
Fractional positions:
Ru: 0.000 0.000 0.372
Ho: 0.500 0.500 0.112
Sc: 0.500 0.500 0.600
Pt: 0.000 0.000 0.844

No. 5
VASP calculation (GGA-PBE) on a relaxed structure of CuBiPt5.

Calculated values
calculated total energy: -0.20375 Ha/atom
M_tot: 0.0 μB/cell
density: 16.655 g/cm³
formation energy from the elements: -0.09 eV per atom

a b c (Å): 3.905 3.905 8.158
angles (deg): 90.00 90.00 90.00
Fractional positions:
Bi: 0.000 0.000 0.500
Pt: 0.500 0.000 0.760
Pt: 0.000 0.500 0.240
Pt: 0.500 0.000 0.240
Cu: 0.500 0.500 0.000
Pt: 0.000 0.500 0.760
Pt: 0.000 0.000 0.000

No. 6
VASP calculation (GGA-PBE) on a relaxed structure of Th4InRh12.

Calculated values
calculated total energy: -0.28520 Ha/atom
M_tot: 0.0 μB/cell
density: 12.131 g/cm³
formation energy from the elements: -0.66 eV per atom

a b c (Å): 7.399 7.399 7.399
angles (deg): 109.47 109.47 109.47
Fractional positions:
In: 0.000 0.000 0.000
Th: 0.000 0.000 0.500
Rh: 0.250 0.750 0.500
Rh: 0.500 0.250 0.750
Th: 0.500 0.000 0.000
Rh: 0.303 0.000 0.303
Rh: 0.500 0.750 0.250
Rh: 0.000 0.697 0.697
Rh: 0.750 0.250 0.500
Rh: 0.303 0.303 0.000
Rh: 0.250 0.500 0.750
Rh: 0.697 0.000 0.697
Th: 0.000 0.500 0.000
Th: 0.500 0.500 0.500
Rh: 0.697 0.697 0.000
Rh: 0.750 0.500 0.250
Rh: 0.000 0.303 0.303

No. 7
VASP calculation (GGA-PBE) on a relaxed structure of Ba2MgTeRh.

Calculated values
E_form (uncorrected): -0.69 eV/atom
calculated total energy: -0.14238 Ha/atom
M_tot: 0.0 μB/cell
density: 4.925 g/cm³

a b c (Å): 5.970 5.970 5.009
angles (deg): 90.00 90.00 90.00
Fractional positions:
Rh: 0.000 0.000 0.000
Ba: 0.000 0.500 0.000
Te: 0.500 0.500 0.500
Ba: 0.500 0.000 0.000
Mg: 0.000 0.000 0.500

No. 8
VASP calculation (GGA-PBE) on a relaxed structure of TeIr.

Calculated values
E_form (uncorrected): -0.01 eV/atom
calculated total energy: -0.22075 Ha/atom
M_tot: 0.0 μB/cell
density: 10.659 g/cm³

a b c (Å): 4.049 4.048 6.080
angles (deg): 90.00 90.00 90.00
Fractional positions:
Te: 0.500 0.000 0.641
Ir: 0.000 0.000 0.917
Te: 0.000 0.500 0.192
Ir: 0.500 0.500 0.917